# CaMgBe PBEsol relaxed
data_CaMgBe
_chemical_formula_sum 'Ca2 Mg2 Be2'
_symmetry_space_group_name_H-M 'I 4 m m'
_symmetry_Int_Tables_number 107
_symmetry_space_group_name_Hall 'I 4 -2'
_cell_length_a 3.322
_cell_length_b 3.322
_cell_length_c 11.670
_cell_angle_alpha 90.00
_cell_angle_beta 90.00
_cell_angle_gamma 90.00
loop_
_atom_site_label
_atom_site_fract_x
_atom_site_fract_y
_atom_site_fract_z
_atom_site_occupancy
Ca1 0.000 0.000 0.000 1
Mg1 0.000 0.000 0.280 1
Be1 0.000 0.000 0.663 1
# Density in g cm⁻³: 1.9
# VASP energy in eV/atom: -2.3683
# N(E_F) in states/eV per atom: 0.489
# Energy of formation from the pure elements in eV per atom: 0.2485